PmPuPdPt: optimized geometry, PBE.

abc: 4.3627 3.9032 11.0296
angles: 90.00 90.00 90.00
With the nearest neighbours (Å) after each atom.
Space group Amm2 (No. 38)
Unique sites:
Pm 0.0000 0.0000 0.0000 (multiplicity 2)  3 Pt 2.97-3.21, 4 Pd 2.99
Pu 0.5000 0.0000 0.7242 (multiplicity 2)  4 Pt 2.97, 3 Pd 3.07-3.13
Pd 0.5000 0.0000 0.4460 (multiplicity 2)  2 Pt 2.92, 4 Pm 2.99, 3 Pu 3.07-3.13
Pt 0.0000 0.0000 0.2694 (multiplicity 2)  2 Pd 2.92, 4 Pu 2.97, 3 Pm 2.97-3.21

Results
Calculated volume ... 23.5 A^3/atom
Total magnetic moment ... 11.23 μB/cell
E above lowest polymorph ... 0 meV per atom